Compound: Sc2TaPd8
Source: the Alexandria database
Functional: GGA-PBE
Structure: optimized geometry

Cell: 7.4444 7.4444 6.4661 Å, 107.16 107.16 31.60°
Atoms (fractional coordinates):
Sc 0.2196 0.2196 0.1625
Sc 0.7804 0.7804 0.8375
Ta 0.5000 0.5000 0.5000
Pd 0.0385 0.0385 0.2293
Pd 0.1393 0.1393 0.6813
Pd 0.3241 0.3241 0.5889
Pd 0.4034 0.4034 0.0566
Pd 0.5966 0.5966 0.9434
Pd 0.6759 0.6759 0.4111
Pd 0.8607 0.8607 0.3187
Pd 0.9615 0.9615 0.7707

Symmetry: No. 12
ΔE_f, meV per atom: -642